[1]
! Zn4AsI2N GGA-PBE relaxed; values from VASP
! Calculated total energy ... -2.901 eV/atom
! Mass density ... 5.244 Mg/m³
! Space-group type ... I-4, No. 82
&SYSTEM
  ibrav = 0, nat = 8, ntyp = 4
/
ATOMIC_SPECIES
As 74.92 As.upf
I 126.90 I.upf
N 14.01 N.upf
Zn 65.41 Zn.upf
CELL_PARAMETERS angstrom
-2.958 2.958 5.468
2.958 -2.958 5.468
2.958 2.958 -5.468
ATOMIC_POSITIONS crystal
As 0.000 0.000 0.000
I 0.500 0.500 0.000
I 0.250 0.750 0.500
N 0.750 0.250 0.500
Zn 0.421 0.003 0.148
Zn 0.997 0.145 0.417
Zn 0.728 0.579 0.583
Zn 0.855 0.272 0.852


[2]
! AsOsI6 GGA-PBE relaxed; values from VASP
! Calculated total energy ... -2.714 eV/atom
! Mass density ... 5.534 Mg/m³
! Space-group type ... F-43m, No. 216
&SYSTEM
  ibrav = 0, nat = 8, ntyp = 3
/
ATOMIC_SPECIES
As 74.92 As.upf
I 126.90 I.upf
Os 190.23 Os.upf
CELL_PARAMETERS angstrom
0.000 5.360 5.360
5.360 0.000 5.360
5.360 5.360 0.000
ATOMIC_POSITIONS crystal
As 0.250 0.250 0.250
I 0.752 0.248 0.248
I 0.248 0.752 0.248
I 0.752 0.752 0.248
I 0.752 0.248 0.752
I 0.248 0.248 0.752
I 0.248 0.752 0.752
Os 0.000 0.000 0.000


[3]
! Zn4AsPI2 GGA-PBE relaxed; values from VASP
! Calculated total energy ... -2.616 eV/atom
! Mass density ... 4.732 Mg/m³
! Space-group type ... I-4, No. 82
&SYSTEM
  ibrav = 0, nat = 8, ntyp = 4
/
ATOMIC_SPECIES
As 74.92 As.upf
I 126.90 I.upf
P 30.97 P.upf
Zn 65.41 Zn.upf
CELL_PARAMETERS angstrom
-3.062 3.062 5.812
3.062 -3.062 5.812
3.062 3.062 -5.812
ATOMIC_POSITIONS crystal
As 0.000 0.000 0.000
I 0.500 0.500 0.000
I 0.250 0.750 0.500
P 0.750 0.250 0.500
Zn 0.384 0.954 0.084
Zn 0.046 0.129 0.430
Zn 0.699 0.616 0.570
Zn 0.871 0.301 0.916


[4]
! AsPdI6 GGA-PBE relaxed; values from VASP
! Calculated total energy ... -2.071 eV/atom
! Mass density ... 5.256 Mg/m³
! Space-group type ... F-43m, No. 216
&SYSTEM
  ibrav = 0, nat = 8, ntyp = 3
/
ATOMIC_SPECIES
As 74.92 As.upf
I 126.90 I.upf
Pd 106.42 Pd.upf
CELL_PARAMETERS angstrom
1.223 2.698 6.886
3.732 6.439 0.894
-3.622 6.140 2.317
ATOMIC_POSITIONS crystal
As 0.250 0.250 0.250
I 0.748 0.252 0.252
I 0.252 0.748 0.252
I 0.748 0.748 0.252
I 0.252 0.252 0.748
I 0.748 0.252 0.748
I 0.252 0.748 0.748
Pd 0.000 0.000 0.000


[5]
! Pr4AsI5 GGA-PBE relaxed; values from VASP
! Calculated total energy ... -4.522 eV/atom
! Mass density ... 5.573 Mg/m³
! Space-group type ... C2/m, No. 12
&SYSTEM
  ibrav = 0, nat = 10, ntyp = 3
/
ATOMIC_SPECIES
As 74.92 As.upf
I 126.90 I.upf
Pr 140.91 Pr.upf
CELL_PARAMETERS angstrom
-8.490 1.691 -5.167
-6.262 -0.869 -7.853
-2.199 -7.252 5.089
ATOMIC_POSITIONS crystal
As 0.500 0.500 0.000
I 0.829 0.829 0.176
I 0.166 0.166 0.339
I 0.500 0.500 0.500
I 0.834 0.834 0.661
I 0.171 0.171 0.824
Pr 0.648 0.648 0.074
Pr 0.000 0.000 0.214
Pr 0.000 0.000 0.786
Pr 0.352 0.352 0.926


[6]
! Zn2SiAs4I GGA-PBE relaxed; values from VASP
! Calculated total energy ... -3.467 eV/atom
! Mass density ... 4.574 Mg/m³
! Space-group type ... I-4, No. 82
&SYSTEM
  ibrav = 0, nat = 8, ntyp = 4
/
ATOMIC_SPECIES
As 74.92 As.upf
I 126.90 I.upf
Si 28.09 Si.upf
Zn 65.41 Zn.upf
CELL_PARAMETERS angstrom
-2.807 2.807 6.747
2.807 -2.807 6.747
2.807 2.807 -6.747
ATOMIC_POSITIONS crystal
As 0.685 0.005 0.009
As 0.324 0.315 0.320
As 0.995 0.003 0.680
As 0.997 0.676 0.991
I 0.500 0.500 0.000
Si 0.750 0.250 0.500
Zn 0.000 0.000 0.000
Zn 0.250 0.750 0.500


Among the records above, which one has the lowest calculated total energy?
Pr4AsI5


Which formula does entry 1 have?
Zn4AsI2N